Record 1
Material: KIn4Ag2Au
Method: DFT, PBE-GGA
State: optimized geometry

Cell: 11.2070 11.2070 11.2070 Å, 24.34 24.34 24.34°
Closest atoms and distances in Å follow each position.
Element x y z (fractional)
K  0.0000  0.0000  0.0000  6 In 3.60
In  0.1311  0.1311  0.1311  3 Au 2.96, 3 Ag 2.96
In  0.4056  0.4056  0.4056  3 Ag 2.83, 1 Au 3.08
In  0.5944  0.5944  0.5944  3 Ag 2.83, 1 Au 3.08
In  0.8689  0.8689  0.8689  3 Au 2.96, 3 Ag 2.96
Ag  0.2378  0.2378  0.2378  6 In 2.83-2.96
Ag  0.7622  0.7622  0.7622  6 In 2.83-2.96
Au  0.5000  0.5000  0.5000  8 In 2.96-3.08

Properties
Fermi-level density of states, states/eV per cell: 3.4
Calculated total energy, eV per cell: -21.7


Record 2
Material: KIn3AgAu
Method: DFT, PBE-GGA
State: optimized geometry

Cell: 7.9651 7.9651 6.5604 Å, 90.00 90.00 127.79°
Closest atoms and distances in Å follow each position.
Element x y z (fractional)
K  0.2102  0.7898  0.7500  1 Au 3.05, 2 Ag 3.39
K  0.7898  0.2102  0.2500  1 Au 3.05, 2 Ag 3.39
In  0.2149  0.2149  0.0000  2 Au 2.81, 1 In 3.01, 2 Ag 3.09
In  0.2149  0.2149  0.5000  2 Au 2.81, 1 In 3.01, 2 Ag 3.09
In  0.3522  0.6478  0.2500  1 Ag 2.90, 1 Au 3.21
In  0.6478  0.3522  0.7500  1 Ag 2.90, 1 Au 3.21
In  0.7851  0.7851  0.0000  2 Au 2.81, 1 In 3.01, 2 Ag 3.09
In  0.7851  0.7851  0.5000  2 Au 2.81, 1 In 3.01, 2 Ag 3.09
Ag  0.1493  0.8507  0.2500  5 In 2.90-3.09
Ag  0.8507  0.1493  0.7500  5 In 2.90-3.09
Au  0.4234  0.5766  0.7500  4 In 2.81, 1 K 3.05
Au  0.5766  0.4234  0.2500  4 In 2.81, 1 K 3.05

Properties
Fermi-level density of states, states/eV per cell: 4.1
Calculated total energy, eV per cell: -31.4


Record 3
Material: K2In3AgAu4
Method: DFT, PBE-GGA
State: optimized geometry

Cell: 4.8528 4.8528 11.2300 Å, 90.00 90.00 90.00°
Closest atoms and distances in Å follow each position.
Element x y z (fractional)
K  0.0000  0.5000  0.2486  8 Au 3.68-3.72, 6 In 3.70-3.71, 2 Ag 3.70
K  0.5000  0.0000  0.7514  8 Au 3.68-3.72, 6 In 3.70-3.71, 2 Ag 3.70
In  0.0000  0.0000  0.0000  4 Au 2.83
In  0.0000  0.5000  0.6247  5 Au 2.75-2.80
In  0.5000  0.0000  0.3753  5 Au 2.75-2.80
Ag  0.5000  0.5000  0.0000  4 Au 2.83
Au  0.0000  0.0000  0.5000  4 In 2.80
Au  0.0000  0.5000  0.8695  3 In 2.75-2.83, 2 Ag 2.83
Au  0.5000  0.0000  0.1305  3 In 2.75-2.83, 2 Ag 2.83
Au  0.5000  0.5000  0.5000  4 In 2.80

Properties
Fermi-level density of states, states/eV per cell: 3.0
Calculated total energy, eV per cell: -28.9


Record 4
Material: K2In4AgAu3
Method: DFT, PBE-GGA
State: optimized geometry

Cell: 5.0398 5.0398 10.6903 Å, 90.00 90.00 90.00°
Closest atoms and distances in Å follow each position.
Element x y z (fractional)
K  0.0000  0.5000  0.2416  2 Ag 3.61, 6 Au 3.61-3.85, 9 In 3.74-3.85
K  0.5000  0.0000  0.7584  2 Ag 3.61, 6 Au 3.61-3.85, 9 In 3.74-3.85
In  0.0000  0.0000  0.5000  4 Au 2.84
In  0.0000  0.5000  0.8816  3 Au 2.76-2.82, 2 Ag 2.82
In  0.5000  0.0000  0.1184  3 Au 2.76-2.82, 2 Ag 2.82
In  0.5000  0.5000  0.5000  4 Au 2.84
Ag  0.5000  0.5000  0.0000  4 In 2.82
Au  0.0000  0.0000  0.0000  4 In 2.82
Au  0.0000  0.5000  0.6234  5 In 2.76-2.84
Au  0.5000  0.0000  0.3766  5 In 2.76-2.84

Properties
Fermi-level density of states, states/eV per cell: 4.6
Calculated total energy, eV per cell: -28.3


Record 5
Material: K2InAg2Au5
Method: DFT, PBE-GGA
State: optimized geometry

Cell: 11.4841 11.4841 3.5209 Å, 90.00 90.00 90.00°
Closest atoms and distances in Å follow each position.
Element x y z (fractional)
K  0.1724  0.3276  0.0000  3 Ag 3.17-3.53, 6 Au 3.31-3.54, 2 K 3.52
K  0.3276  0.8276  0.0000  3 Ag 3.17-3.53, 6 Au 3.31-3.54, 2 K 3.52
K  0.6724  0.1724  0.0000  3 Ag 3.17-3.53, 6 Au 3.31-3.54, 2 K 3.52
K  0.8276  0.6724  0.0000  3 Ag 3.17-3.53, 6 Au 3.31-3.54, 2 K 3.52
In  0.0000  0.0000  0.0000  8 Au 2.88
In  0.5000  0.5000  0.0000  8 Au 2.88
Ag  0.1322  0.6322  0.0000  6 Au 2.78-2.83
Ag  0.3678  0.1322  0.0000  6 Au 2.78-2.83
Ag  0.6322  0.8678  0.0000  6 Au 2.78-2.83
Ag  0.8678  0.3678  0.0000  6 Au 2.78-2.83
Au  0.0000  0.5000  0.5000  4 Ag 2.78
Au  0.0604  0.8111  0.5000  2 Ag 2.83, 2 In 2.88
Au  0.1889  0.0604  0.5000  2 Ag 2.83, 2 In 2.88
Au  0.3111  0.5604  0.5000  2 Ag 2.83, 2 In 2.88
Au  0.4396  0.3111  0.5000  2 Ag 2.83, 2 In 2.88
Au  0.5000  0.0000  0.5000  4 Ag 2.78
Au  0.5604  0.6889  0.5000  2 Ag 2.83, 2 In 2.88
Au  0.6889  0.4396  0.5000  2 Ag 2.83, 2 In 2.88
Au  0.8111  0.9396  0.5000  2 Ag 2.83, 2 In 2.88
Au  0.9396  0.1889  0.5000  2 Ag 2.83, 2 In 2.88

Properties
Fermi-level density of states, states/eV per cell: 4.6
Calculated total energy, eV per cell: -56.9


Record 6
Material: La2InAgAu6
Method: DFT, PBE-GGA
State: optimized geometry

Cell: 5.4582 6.8601 7.4709 Å, 80.16 68.61 67.09°
Closest atoms and distances in Å follow each position.
Element x y z (fractional)
La  0.0090  0.2580  0.2206  7 Au 3.19-3.30, 2 Ag 3.46
La  0.9910  0.7420  0.7794  7 Au 3.19-3.30, 2 Ag 3.46
In  0.5000  0.0000  0.5000  6 Au 2.80-2.82
Ag  0.5000  0.5000  0.0000  6 Au 2.76-2.88
Au  0.0047  0.2053  0.7953  3 Au 2.72-2.98, 1 Ag 2.77, 1 In 2.81
Au  0.3249  0.4392  0.4115  1 In 2.82, 1 Ag 2.88, 4 Au 2.98-3.11
Au  0.4937  0.8033  0.2030  3 Au 2.72-2.99, 1 Ag 2.76, 1 In 2.80
Au  0.5063  0.1967  0.7970  3 Au 2.72-2.99, 1 Ag 2.76, 1 In 2.80
Au  0.6751  0.5608  0.5885  1 In 2.82, 1 Ag 2.88, 4 Au 2.98-3.11
Au  0.9953  0.7947  0.2047  3 Au 2.72-2.98, 1 Ag 2.77, 1 In 2.81

Properties
Fermi-level density of states, states/eV per cell: 5.2
Calculated total energy, eV per cell: -39.3


Record 7
Material: Li2In2AgAu2
Method: DFT, PBE-GGA
State: optimized geometry

Cell: 7.2686 7.2686 7.2686 Å, 38.09 38.09 38.09°
Closest atoms and distances in Å follow each position.
Element x y z (fractional)
Li  0.1376  0.1376  0.1376  1 Au 2.65, 1 Ag 2.78, 3 In 2.93
Li  0.8624  0.8624  0.8624  1 Au 2.65, 1 Ag 2.78, 3 In 2.93
In  0.4189  0.4189  0.4189  4 Au 2.77-3.04, 3 Li 2.93
In  0.5811  0.5811  0.5811  4 Au 2.77-3.04, 3 Li 2.93
Ag  0.0000  0.0000  0.0000  2 Li 2.78, 6 Au 3.03
Au  0.2687  0.2687  0.2687  1 Li 2.65, 3 In 2.77
Au  0.7313  0.7313  0.7313  1 Li 2.65, 3 In 2.77

Properties
Fermi-level density of states, states/eV per cell: 2.6
Calculated total energy, eV per cell: -21.1


Record 8
Material: Li2In2AgAu5
Method: DFT, PBE-GGA
State: optimized geometry

Cell: 9.4898 9.4898 4.0261 Å, 90.00 90.00 90.00°
Closest atoms and distances in Å follow each position.
Element x y z (fractional)
Li  0.1236  0.3764  0.0000  6 Au 2.61-2.65, 3 In 2.76-2.83
Li  0.3764  0.8764  0.0000  6 Au 2.61-2.65, 3 In 2.76-2.83
Li  0.6236  0.1236  0.0000  6 Au 2.61-2.65, 3 In 2.76-2.83
Li  0.8764  0.6236  0.0000  6 Au 2.61-2.65, 3 In 2.76-2.83
In  0.1710  0.6710  0.0000  3 Li 2.76-2.83, 6 Au 3.05-3.07
In  0.3290  0.1710  0.0000  3 Li 2.76-2.83, 6 Au 3.05-3.07
In  0.6710  0.8290  0.0000  3 Li 2.76-2.83, 6 Au 3.05-3.07
In  0.8290  0.3290  0.0000  3 Li 2.76-2.83, 6 Au 3.05-3.07
Ag  0.0000  0.0000  0.0000  8 Au 2.88
Ag  0.5000  0.5000  0.0000  8 Au 2.88
Au  0.0000  0.5000  0.5000  4 Li 2.61
Au  0.0857  0.1989  0.5000  2 Li 2.65, 2 Ag 2.88, 3 Au 2.89-2.91
Au  0.1989  0.9143  0.5000  2 Li 2.65, 2 Ag 2.88, 3 Au 2.89-2.91
Au  0.3011  0.4143  0.5000  2 Li 2.65, 2 Ag 2.88, 3 Au 2.89-2.91
Au  0.4143  0.6989  0.5000  2 Li 2.65, 2 Ag 2.88, 3 Au 2.89-2.91
Au  0.5000  0.0000  0.5000  4 Li 2.61
Au  0.5857  0.3011  0.5000  2 Li 2.65, 2 Ag 2.88, 3 Au 2.89-2.91
Au  0.6989  0.5857  0.5000  2 Li 2.65, 2 Ag 2.88, 3 Au 2.89-2.91
Au  0.8011  0.0857  0.5000  2 Li 2.65, 2 Ag 2.88, 3 Au 2.89-2.91
Au  0.9143  0.8011  0.5000  2 Li 2.65, 2 Ag 2.88, 3 Au 2.89-2.91

Properties
Fermi-level density of states, states/eV per cell: 5.5
Calculated total energy, eV per cell: -62.1


Record 9
Material: LuInAgAu
Method: DFT, PBE-GGA
State: optimized geometry

Cell: 6.9056 6.9056 6.9056 Å, 90.00 90.00 90.00°
Closest atoms and distances in Å follow each position.
Element x y z (fractional)
Lu  0.0000  0.0000  0.0000  4 Ag 2.99, 4 Au 2.99
Lu  0.0000  0.5000  0.5000  4 Ag 2.99, 4 Au 2.99
Lu  0.5000  0.0000  0.5000  4 Ag 2.99, 4 Au 2.99
Lu  0.5000  0.5000  0.0000  4 Ag 2.99, 4 Au 2.99
In  0.0000  0.0000  0.5000  4 Ag 2.99, 4 Au 2.99
In  0.0000  0.5000  0.0000  4 Ag 2.99, 4 Au 2.99
In  0.5000  0.0000  0.0000  4 Ag 2.99, 4 Au 2.99
In  0.5000  0.5000  0.5000  4 Ag 2.99, 4 Au 2.99
Ag  0.2500  0.2500  0.2500  4 In 2.99, 4 Lu 2.99
Ag  0.2500  0.7500  0.7500  4 In 2.99, 4 Lu 2.99
Ag  0.7500  0.2500  0.7500  4 In 2.99, 4 Lu 2.99
Ag  0.7500  0.7500  0.2500  4 In 2.99, 4 Lu 2.99
Au  0.2500  0.2500  0.7500  4 In 2.99, 4 Lu 2.99
Au  0.2500  0.7500  0.2500  4 In 2.99, 4 Lu 2.99
Au  0.7500  0.2500  0.2500  4 In 2.99, 4 Lu 2.99
Au  0.7500  0.7500  0.7500  4 In 2.99, 4 Lu 2.99

Properties
Fermi-level density of states, states/eV per cell: 7.9
Calculated total energy, eV per cell: -61.8


Record 10
Material: Mg5In2Ag2Au
Method: DFT, PBE-GGA
State: optimized geometry

Cell: 10.5835 10.5835 3.8119 Å, 90.00 90.00 90.00°
Closest atoms and distances in Å follow each position.
Element x y z (fractional)
Mg  0.0000  0.5000  0.0000  4 Ag 2.74
Mg  0.0667  0.1911  0.0000  2 Ag 2.76, 2 Au 2.87, 2 Mg 3.03
Mg  0.1911  0.9333  0.0000  2 Ag 2.76, 2 Au 2.87, 2 Mg 3.03
Mg  0.3089  0.4333  0.0000  2 Ag 2.76, 2 Au 2.87, 2 Mg 3.03
Mg  0.4333  0.6911  0.0000  2 Ag 2.76, 2 Au 2.87, 2 Mg 3.03
Mg  0.5000  0.0000  0.0000  4 Ag 2.74
Mg  0.5667  0.3089  0.0000  2 Ag 2.76, 2 Au 2.87, 2 Mg 3.03
Mg  0.6911  0.5667  0.0000  2 Ag 2.76, 2 Au 2.87, 2 Mg 3.03
Mg  0.8089  0.0667  0.0000  2 Ag 2.76, 2 Au 2.87, 2 Mg 3.03
Mg  0.9333  0.8089  0.0000  2 Ag 2.76, 2 Au 2.87, 2 Mg 3.03
In  0.1702  0.6702  0.5000  3 Ag 2.96-3.22, 2 Mg 3.18
In  0.3298  0.1702  0.5000  3 Ag 2.96-3.22, 2 Mg 3.18
In  0.6702  0.8298  0.5000  3 Ag 2.96-3.22, 2 Mg 3.18
In  0.8298  0.3298  0.5000  3 Ag 2.96-3.22, 2 Mg 3.18
Ag  0.1320  0.3680  0.5000  6 Mg 2.74-2.76, 1 In 2.96
Ag  0.3680  0.8680  0.5000  6 Mg 2.74-2.76, 1 In 2.96
Ag  0.6320  0.1320  0.5000  6 Mg 2.74-2.76, 1 In 2.96
Ag  0.8680  0.6320  0.5000  6 Mg 2.74-2.76, 1 In 2.96
Au  0.0000  0.0000  0.5000  8 Mg 2.87
Au  0.5000  0.5000  0.5000  8 Mg 2.87

Properties
Fermi-level density of states, states/eV per cell: 5.4
Calculated total energy, eV per cell: -48.5


Record 11
Material: Mg5In2AgAu2
Method: DFT, PBE-GGA
State: optimized geometry

Cell: 10.8353 10.8353 3.6660 Å, 90.00 90.00 90.00°
Closest atoms and distances in Å follow each position.
Element x y z (fractional)
Mg  0.0000  0.5000  0.0000  4 Au 2.73
Mg  0.0608  0.1969  0.0000  2 Au 2.72, 2 Ag 2.89
Mg  0.1969  0.9392  0.0000  2 Au 2.72, 2 Ag 2.89
Mg  0.3031  0.4392  0.0000  2 Au 2.72, 2 Ag 2.89
Mg  0.4392  0.6969  0.0000  2 Au 2.72, 2 Ag 2.89
Mg  0.5000  0.0000  0.0000  4 Au 2.73
Mg  0.5608  0.3031  0.0000  2 Au 2.72, 2 Ag 2.89
Mg  0.6969  0.5608  0.0000  2 Au 2.72, 2 Ag 2.89
Mg  0.8031  0.0608  0.0000  2 Au 2.72, 2 Ag 2.89
Mg  0.9392  0.8031  0.0000  2 Au 2.72, 2 Ag 2.89
In  0.1732  0.6732  0.5000  3 Au 2.99-3.33, 2 Mg 3.23
In  0.3268  0.1732  0.5000  3 Au 2.99-3.33, 2 Mg 3.23
In  0.6732  0.8268  0.5000  3 Au 2.99-3.33, 2 Mg 3.23
In  0.8268  0.3268  0.5000  3 Au 2.99-3.33, 2 Mg 3.23
Ag  0.0000  0.0000  0.5000  8 Mg 2.89
Ag  0.5000  0.5000  0.5000  8 Mg 2.89
Au  0.1318  0.3682  0.5000  6 Mg 2.72-2.73, 1 In 2.99
Au  0.3682  0.8682  0.5000  6 Mg 2.72-2.73, 1 In 2.99
Au  0.6318  0.1318  0.5000  6 Mg 2.72-2.73, 1 In 2.99
Au  0.8682  0.6318  0.5000  6 Mg 2.72-2.73, 1 In 2.99

Properties
Fermi-level density of states, states/eV per cell: 7.5
Calculated total energy, eV per cell: -51.0


Record 12
Material: InAg2AuN
Method: DFT, PBE-GGA
State: optimized geometry

Cell: 5.3811 5.3811 5.2441 Å, 90.00 90.00 90.00°
Closest atoms and distances in Å follow each position.
Element x y z (fractional)
In  0.0000  0.0000  0.0000  2 Au 2.62, 4 Ag 2.69
Ag  0.0000  0.5000  0.0000  2 In 2.69
Ag  0.5000  0.0000  0.0000  2 In 2.69
Au  0.0000  0.0000  0.5000  2 In 2.62
N  0.5000  0.5000  0.5000  8 Ag 3.76, 4 Au 3.81

Properties
Fermi-level density of states, states/eV per cell: 2.0
Formation energy (no corrections), eV per atom: 1.544
Calculated total energy, eV per cell: -12.3